# LiSi2Bi2

A relaxed structure of LiSi2Bi2 (PBE, Alexandria).

```
data_LiSi2Bi2
_symmetry_space_group_name_H-M 'I 4/m m m'
_symmetry_Int_Tables_number 139
_symmetry_space_group_name_Hall '-I 4 2'
_cell_length_a 5.7883
_cell_length_b 5.7883
_cell_length_c 7.3306
_cell_angle_alpha 90.00
_cell_angle_beta 90.00
_cell_angle_gamma 90.00
loop_
_atom_site_label
_atom_site_fract_x
_atom_site_fract_y
_atom_site_fract_z
Li1 0.0000 0.0000 0.0000
Si1 0.0000 0.0000 0.3426
Bi1 0.0000 0.5000 0.2500
```

Properties
Crystal system: tetragonal
Relative energy among the computed polymorphs in meV/atom: 84.7
Fermi-level density of states in states/eV/f.u.: 2.093

# TbDyTmCd

A relaxed structure of TbDyTmCd (PBE, Alexandria).

```
data_TbDyTmCd
_symmetry_space_group_name_H-M 'F -4 3 m'
_symmetry_Int_Tables_number 216
_symmetry_space_group_name_Hall 'F -4 2 3'
_cell_length_a 7.6675
_cell_length_b 7.6675
_cell_length_c 7.6675
_cell_angle_alpha 90.00
_cell_angle_beta 90.00
_cell_angle_gamma 90.00
loop_
_atom_site_label
_atom_site_fract_x
_atom_site_fract_y
_atom_site_fract_z
Tb1 0.0000 0.0000 0.0000
Dy1 0.0000 0.0000 0.5000
Tm1 0.2500 0.2500 0.2500
Cd1 0.2500 0.2500 0.7500
```

Properties
Crystal system: cubic
Relative energy among the computed polymorphs in meV/atom: 108.2
Formation energy from the elements in eV per atom: -0.031
Fermi-level density of states in states/eV/f.u.: 4.956

# NdMg4Sn2

A relaxed structure of NdMg4Sn2 (PBE, Alexandria).

```
data_NdMg4Sn2
_symmetry_space_group_name_H-M 'P 42/m n m'
_symmetry_Int_Tables_number 136
_symmetry_space_group_name_Hall '-P 4n 2n'
_cell_length_a 8.7165
_cell_length_b 8.7165
_cell_length_c 4.6169
_cell_angle_alpha 90.00
_cell_angle_beta 90.00
_cell_angle_gamma 90.00
loop_
_atom_site_label
_atom_site_fract_x
_atom_site_fract_y
_atom_site_fract_z
Nd1 0.0000 0.0000 0.0000
Mg1 0.0973 0.3513 0.5000
Sn1 0.2015 0.7985 0.5000
```

Properties
Crystal system: tetragonal
Formation energy from the elements in eV per atom: -0.323
Fermi-level density of states in states/eV/f.u.: 2.392

# KAgCl3

A relaxed structure of KAgCl3 (PBE, Alexandria).

```
data_KAgCl3
_symmetry_space_group_name_H-M 'C m c m'
_symmetry_Int_Tables_number 63
_symmetry_space_group_name_Hall '-C 2c 2'
_cell_length_a 5.3914
_cell_length_b 16.0324
_cell_length_c 7.8461
_cell_angle_alpha 90.00
_cell_angle_beta 90.00
_cell_angle_gamma 90.00
loop_
_atom_site_label
_atom_site_fract_x
_atom_site_fract_y
_atom_site_fract_z
K1 0.0000 0.0930 0.2500
Ag1 0.0000 0.3949 0.2500
Cl1 0.0000 0.5000 0.0000
Cl2 0.2389 0.2364 0.7500
```

Properties
Crystal system: orthorhombic
DFT total energy in eV/atom: -2.72
Fermi-level density of states in states/eV/f.u.: 0.563

# CaY3Cd4

A relaxed structure of CaY3Cd4 (PBE, Alexandria).

```
data_CaY3Cd4
_symmetry_space_group_name_H-M 'P 4/m m m'
_symmetry_Int_Tables_number 123
_symmetry_space_group_name_Hall '-P 4 2'
_cell_length_a 5.3101
_cell_length_b 5.3101
_cell_length_c 7.5697
_cell_angle_alpha 90.00
_cell_angle_beta 90.00
_cell_angle_gamma 90.00
loop_
_atom_site_label
_atom_site_fract_x
_atom_site_fract_y
_atom_site_fract_z
Ca1 0.0000 0.0000 0.0000
Y1 0.0000 0.0000 0.5000
Y2 0.5000 0.5000 0.0000
Y3 0.5000 0.5000 0.5000
Cd1 0.0000 0.5000 0.2537
```

Properties
Crystal system: tetragonal
Formation energy from the elements in eV per atom: -0.360
Fermi-level density of states in states/eV/f.u.: 5.134

# CaPt2Br

A relaxed structure of CaPt2Br (PBE, Alexandria).

```
data_CaPt2Br
_symmetry_space_group_name_H-M 'P 4 m m'
_symmetry_Int_Tables_number 99
_symmetry_space_group_name_Hall 'P 4 -2'
_cell_length_a 3.6222
_cell_length_b 3.6222
_cell_length_c 7.6139
_cell_angle_alpha 90.00
_cell_angle_beta 90.00
_cell_angle_gamma 90.00
loop_
_atom_site_label
_atom_site_fract_x
_atom_site_fract_y
_atom_site_fract_z
Ca1 0.0000 0.0000 0.0000
Pt1 0.0000 0.0000 0.3565
Pt2 0.5000 0.5000 0.2885
Br1 0.5000 0.5000 0.8001
```

Properties
Crystal system: tetragonal
Relative energy among the computed polymorphs in meV/atom: 53.7
Fermi-level density of states in states/eV/f.u.: 2.979

# Ta2CoCu

A relaxed structure of Ta2CoCu (PBE, Alexandria).

```
data_Ta2CoCu
_symmetry_space_group_name_H-M 'R 3 m'
_symmetry_Int_Tables_number 160
_symmetry_space_group_name_Hall 'R 3 -2"'
_cell_length_a 2.8241
_cell_length_b 2.8241
_cell_length_c 26.6527
_cell_angle_alpha 90.00
_cell_angle_beta 90.00
_cell_angle_gamma 120.00
loop_
_atom_site_label
_atom_site_fract_x
_atom_site_fract_y
_atom_site_fract_z
Ta1 0.0000 0.0000 0.0000
Ta2 0.0000 0.0000 0.2351
Co1 0.0000 0.0000 0.7432
Cu1 0.0000 0.0000 0.4841
```

Properties
Crystal system: trigonal
Formation energy from the elements in eV per atom: 0.271
Fermi-level density of states in states/eV/f.u.: 4.369

# Dy3TlCCl

A relaxed structure of Dy3TlCCl (PBE, Alexandria).

```
data_Dy3TlCCl
_symmetry_space_group_name_H-M 'P 1 21/m 1'
_symmetry_Int_Tables_number 11
_symmetry_space_group_name_Hall '-P 2yb'
_cell_length_a 8.3083
_cell_length_b 3.6306
_cell_length_c 10.4364
_cell_angle_alpha 90.00
_cell_angle_beta 101.01
_cell_angle_gamma 90.00
loop_
_atom_site_label
_atom_site_fract_x
_atom_site_fract_y
_atom_site_fract_z
Dy1 0.0879 0.2500 0.3962
Dy2 0.1000 0.2500 0.8594
Dy3 0.3369 0.7500 0.6614
Tl1 0.3197 0.7500 0.2526
C1 0.1363 0.2500 0.6379
Cl1 0.3453 0.7500 0.9214
```

Properties
Crystal system: monoclinic
DFT total energy in eV/atom: -5.15
Fermi-level density of states in states/eV/f.u.: 4.331

# Th2GaSe

A relaxed structure of Th2GaSe (PBE, Alexandria).

```
data_Th2GaSe
_symmetry_space_group_name_H-M 'P n n m'
_symmetry_Int_Tables_number 58
_symmetry_space_group_name_Hall '-P 2 2n'
_cell_length_a 7.1823
_cell_length_b 7.3048
_cell_length_c 4.1911
_cell_angle_alpha 90.00
_cell_angle_beta 90.00
_cell_angle_gamma 90.00
loop_
_atom_site_label
_atom_site_fract_x
_atom_site_fract_y
_atom_site_fract_z
Th1 0.1685 0.2485 0.0000
Ga1 0.0000 0.0000 0.5000
Se1 0.0000 0.5000 0.5000
```

Properties
Crystal system: orthorhombic
Relative energy among the computed polymorphs in meV/atom: 32.8
Fermi-level density of states in states/eV/f.u.: 3.298

# Rb2NaMgBr6

A relaxed structure of Rb2NaMgBr6 (PBE, Alexandria).

```
data_Rb2NaMgBr6
_symmetry_space_group_name_H-M 'F m -3 m'
_symmetry_Int_Tables_number 225
_symmetry_space_group_name_Hall '-F 4 2 3'
_cell_length_a 11.0984
_cell_length_b 11.0984
_cell_length_c 11.0984
_cell_angle_alpha 90.00
_cell_angle_beta 90.00
_cell_angle_gamma 90.00
loop_
_atom_site_label
_atom_site_fract_x
_atom_site_fract_y
_atom_site_fract_z
Rb1 0.2500 0.2500 0.2500
Na1 0.0000 0.0000 0.0000
Mg1 0.0000 0.0000 0.5000
Br1 0.0000 0.0000 0.2605
```

Properties
Crystal system: cubic
DFT total energy in eV/atom: -2.87
Fermi-level density of states in states/eV/f.u.: 13.178

# Tm2Tl3Rh

A relaxed structure of Tm2Tl3Rh (PBE, Alexandria).

```
data_Tm2Tl3Rh
_symmetry_space_group_name_H-M 'I b a m'
_symmetry_Int_Tables_number 72
_symmetry_space_group_name_Hall '-I 2 2c'
_cell_length_a 6.5806
_cell_length_b 14.4231
_cell_length_c 6.4364
_cell_angle_alpha 90.00
_cell_angle_beta 90.00
_cell_angle_gamma 90.00
loop_
_atom_site_label
_atom_site_fract_x
_atom_site_fract_y
_atom_site_fract_z
Tm1 0.2008 0.1326 0.0000
Tl1 0.0000 0.5000 0.2500
Tl2 0.2373 0.3506 0.0000
Rh1 0.0000 0.0000 0.2500
```

Properties
Crystal system: orthorhombic
Formation energy from the elements in eV per atom: -0.252
Fermi-level density of states in states/eV/f.u.: 2.851

# V2TcWSe

A relaxed structure of V2TcWSe (PBE, Alexandria).

```
data_V2TcWSe
_symmetry_space_group_name_H-M 'P 4/m m m'
_symmetry_Int_Tables_number 123
_symmetry_space_group_name_Hall '-P 4 2'
_cell_length_a 4.6136
_cell_length_b 4.6136
_cell_length_c 4.7573
_cell_angle_alpha 90.00
_cell_angle_beta 90.00
_cell_angle_gamma 90.00
loop_
_atom_site_label
_atom_site_fract_x
_atom_site_fract_y
_atom_site_fract_z
V1 0.0000 0.5000 0.0000
Tc1 0.0000 0.0000 0.5000
W1 0.0000 0.0000 0.0000
Se1 0.5000 0.5000 0.5000
```

Properties
Crystal system: tetragonal
DFT total energy in eV/atom: -7.49
Fermi-level density of states in states/eV/f.u.: 8.213